Entry 1:
Entry from the Alexandria database: a geometry-optimized AlCdMo3 structure (GGA-PBE).

Calculated values
total magnetic moment = 0.00 μB per cell
polymorph energy (0 for the lowest one) = 5.01 eV/f.u.
total DFT energy (no corrections) = -5.002 eV/atom
formation energy = 2.429 eV per atom

a = 4.8418 Å, b = 4.8418 Å, c = 4.8418 Å
α = 90.00°, β = 90.00°, γ = 90.00°
Closest atoms and distances in Å follow each position.
Atoms (fractional coordinates):
Mo1 0.5000 0.0000 0.0000  2 Cd 2.42
Mo2 0.0000 0.0000 0.5000  2 Cd 2.42
Mo3 0.0000 0.5000 0.0000  2 Cd 2.42
Al1 0.5000 0.5000 0.5000  12 Mo 3.42
Cd1 0.0000 0.0000 0.0000  6 Mo 2.42

Entry 2:
Entry from the Alexandria database: a geometry-optimized Tb7Tl2Co2 structure (GGA-PBE).

Calculated values
total magnetic moment = 0.00 μB per cell
polymorph energy (0 for the lowest one) = 0.73 eV/f.u.
total DFT energy (no corrections) = -4.807 eV/atom
formation energy = -0.138 eV per atom

a = 3.8125 Å, b = 9.4562 Å, c = 9.4562 Å
α = 63.67°, β = 78.37°, γ = 78.37°
Closest atoms and distances in Å follow each position.
Atoms (fractional coordinates):
Tb1 0.8291 0.0368 0.3050  1 Co 2.79, 2 Tl 3.10
Tb2 0.5000 0.9926 0.0074  2 Co 2.82
Tb3 0.8876 0.4041 0.8208  2 Co 2.70
Tb4 0.3998 0.7039 0.4965  3 Co 2.82-3.05, 1 Tb 3.13
Tb5 0.1709 0.6950 0.9632  1 Co 2.79, 2 Tl 3.10
Tb6 0.1124 0.1792 0.5959  2 Co 2.70
Tb7 0.6002 0.5035 0.2961  3 Co 2.82-3.05, 1 Tb 3.13
Tl1 0.7284 0.8649 0.6783  7 Tb 3.10-3.29
Tl2 0.2716 0.3217 0.1351  7 Tb 3.10-3.29
Co1 0.0000 0.7841 0.2159  8 Tb 2.79-3.05
Co2 0.5000 0.3680 0.6320  6 Tb 2.70-2.82

Entry 3:
Entry from the Alexandria database: a geometry-optimized InSbCl structure (GGA-PBE).

Calculated values
total magnetic moment = 0.00 μB per cell
polymorph energy (0 for the lowest one) = 0.67 eV/f.u.
energy relative to the elements, uncorrected = -0.19 eV per atom
total DFT energy (no corrections) = -3.097 eV/atom

a = 7.8662 Å, b = 7.7058 Å, c = 3.3782 Å
α = 80.14°, β = 74.83°, γ = 25.03°
Closest atoms and distances in Å follow each position.
Atoms (fractional coordinates):
Sb1 0.6855 0.6855 0.3145  4 In 3.17-3.54, 4 Sb 3.38
Cl1 0.9697 0.9697 0.0303  2 In 2.81
In1 0.3449 0.3449 0.6551  2 Cl 2.81

Question: total magnetic moment of number 1 (AlCdMo3)?
Answer: 0.00 μB per cell

Question: total DFT energy (no corrections) of number 2 (Tb7Tl2Co2)?
Answer: -4.807 eV/atom

Question: Which of these has the highest polymorph energy (0 for the lowest one)?
Answer: AlCdMo3

Question: Among the records above, which one has the highest total DFT energy (no corrections)?
Answer: InSbCl